Tb3H12Pd5: relaxed, GGA-PBE.

abc: 10.256 10.256 10.256
angles: 109.47 109.47 109.47
Positions (direct):
Tb  0.125  0.250  0.375
Tb  0.125  0.375  0.750
Tb  0.250  0.375  0.125
Tb  0.250  0.875  0.625
Tb  0.375  0.125  0.250
Tb  0.375  0.750  0.125
Tb  0.625  0.250  0.875
Tb  0.625  0.875  0.750
Tb  0.750  0.125  0.375
Tb  0.750  0.625  0.875
Tb  0.875  0.625  0.250
Tb  0.875  0.750  0.625
H  0.025  0.199  0.116
H  0.025  0.326  0.909
H  0.082  0.699  0.674
H  0.082  0.884  0.409
H  0.091  0.616  0.418
H  0.091  0.975  0.674
H  0.116  0.025  0.199
H  0.116  0.591  0.918
H  0.174  0.199  0.582
H  0.174  0.475  0.591
H  0.199  0.116  0.025
H  0.199  0.582  0.174
H  0.301  0.326  0.918
H  0.301  0.475  0.384
H  0.326  0.909  0.025
H  0.326  0.918  0.301
H  0.384  0.301  0.475
H  0.384  0.582  0.909
H  0.409  0.082  0.884
H  0.409  0.826  0.525
H  0.418  0.091  0.616
H  0.418  0.826  0.801
H  0.475  0.384  0.301
H  0.475  0.591  0.174
H  0.525  0.409  0.826
H  0.525  0.616  0.699
H  0.582  0.174  0.199
H  0.582  0.909  0.384
H  0.591  0.174  0.475
H  0.591  0.918  0.116
H  0.616  0.418  0.091
H  0.616  0.699  0.525
H  0.674  0.082  0.699
H  0.674  0.091  0.975
H  0.699  0.525  0.616
H  0.699  0.674  0.082
H  0.801  0.418  0.826
H  0.801  0.884  0.975
H  0.826  0.525  0.409
H  0.826  0.801  0.418
H  0.884  0.409  0.082
H  0.884  0.975  0.801
H  0.909  0.025  0.326
H  0.909  0.384  0.582
H  0.918  0.116  0.591
H  0.918  0.301  0.326
H  0.975  0.674  0.091
H  0.975  0.801  0.884
Pd  0.000  0.000  0.000
Pd  0.000  0.000  0.500
Pd  0.000  0.500  0.000
Pd  0.000  0.500  0.500
Pd  0.125  0.750  0.875
Pd  0.125  0.875  0.250
Pd  0.250  0.125  0.875
Pd  0.250  0.625  0.375
Pd  0.375  0.250  0.625
Pd  0.375  0.625  0.750
Pd  0.500  0.000  0.000
Pd  0.500  0.000  0.500
Pd  0.500  0.500  0.000
Pd  0.500  0.500  0.500
Pd  0.625  0.375  0.250
Pd  0.625  0.750  0.375
Pd  0.750  0.375  0.625
Pd  0.750  0.875  0.125
Pd  0.875  0.125  0.750
Pd  0.875  0.250  0.125

* theoretical density: 8.2 g/cm3
* E: -347.6 eV for the cell shown